# 1
Below is a relaxed PrDyPO crystal, with properties calculated at the PBE-GGA level.

Cell lengths 4.402, 4.402, 8.885 Å; angles 90.00, 90.00, 90.00 degrees
Atoms (fractional coordinates):
Pr (0.500, 0.000, 0.886)
Pr (0.000, 0.500, 0.114)
Dy (0.000, 0.000, 0.500)
Dy (0.500, 0.500, 0.500)
O (0.000, 0.000, 0.000)
O (0.500, 0.500, 0.000)
P (0.500, 0.000, 0.314)
P (0.000, 0.500, 0.686)

Symmetry ... P4/nmm (129)
Density ... 6.76 g/cm3
M_tot ... 0.01 μB per formula unit
Total DFT energy (no corrections) ... -6.8492 eV/atom



# 2
Below is a relaxed Sn2TeMo crystal, with properties calculated at the PBE-GGA level.

Cell lengths 5.028, 5.028, 5.028 Å; angles 60.00, 60.00, 60.00 degrees
Each line ends with the local moment (μB).
Atoms (fractional coordinates):
Sn (0.500, 0.500, 0.500)  -0.01
Sn (0.250, 0.250, 0.250)  -0.02
Te (0.750, 0.750, 0.750)  -0.02
Mo (0.000, 0.000, 0.000)  0.64

Symmetry ... F-43m (216)
Density ... 8.52 g/cm3
M_tot ... 0.71 μB per formula unit
Total DFT energy (no corrections) ... -4.9232 eV/atom